PmGePd4: optimized geometry, PBE-GGA.

abc: 5.3776 5.3776 5.3776
angles: 60.00 60.00 60.00
Fractional positions:
1 Pm 0.0000 0.0000 0.0000
2 Ge 0.7500 0.7500 0.7500
3 Pd 0.3754 0.3754 0.3754
4 Pd 0.3754 0.3754 0.8737
5 Pd 0.3754 0.8737 0.3754
6 Pd 0.8737 0.3754 0.3754

Calculated values
DFT formation energy: -485 meV per atom
Space-group type: No. 216
E above lowest polymorph: 185 meV/atom



PmPrGePd: optimized geometry, PBE-GGA.

abc: 7.3329 7.3329 7.3329
angles: 90.00 90.00 90.00
Fractional positions:
1 Pm 0.0000 0.0000 0.0000
2 Pm 0.0000 0.5000 0.5000
3 Pm 0.5000 0.0000 0.5000
4 Pm 0.5000 0.5000 0.0000
5 Pr 0.0000 0.0000 0.5000
6 Pr 0.0000 0.5000 0.0000
7 Pr 0.5000 0.0000 0.0000
8 Pr 0.5000 0.5000 0.5000
9 Ge 0.2500 0.2500 0.7500
10 Ge 0.2500 0.7500 0.2500
11 Ge 0.7500 0.2500 0.2500
12 Ge 0.7500 0.7500 0.7500
13 Pd 0.2500 0.2500 0.2500
14 Pd 0.2500 0.7500 0.7500
15 Pd 0.7500 0.2500 0.7500
16 Pd 0.7500 0.7500 0.2500

Calculated values
DFT formation energy: -717 meV per atom
Space-group type: No. 216
E above lowest polymorph: 95 meV/atom



PmPrGe2Pd5: optimized geometry, PBE-GGA.

abc: 4.3129 4.3129 9.1725
angles: 90.00 90.00 90.00
Fractional positions:
1 Pm 0.0000 0.0000 0.0000
2 Pr 0.0000 0.0000 0.5000
3 Ge 0.5000 0.5000 0.1356
4 Ge 0.5000 0.5000 0.8644
5 Pd 0.0000 0.5000 0.2718
6 Pd 0.0000 0.5000 0.7282
7 Pd 0.5000 0.0000 0.2718
8 Pd 0.5000 0.0000 0.7282
9 Pd 0.5000 0.5000 0.5000

Calculated values
DFT formation energy: -796 meV per atom
Space-group type: No. 123



PmPrGePd: optimized geometry, PBE-GGA.

abc: 4.3743 4.1303 11.2112
angles: 90.00 90.00 90.00
Fractional positions:
1 Pm 0.0000 0.0000 0.0000
2 Pm 0.0000 0.5000 0.5000
3 Pr 0.5000 0.0000 0.2763
4 Pr 0.5000 0.5000 0.7763
5 Ge 0.0000 0.0000 0.7150
6 Ge 0.0000 0.5000 0.2150
7 Pd 0.5000 0.0000 0.5585
8 Pd 0.5000 0.5000 0.0585

Calculated values
DFT formation energy: -812 meV per atom
Space-group type: No. 38
E above lowest polymorph: 0 meV/atom



PmGe2PdPt2: optimized geometry, PBE-GGA.

abc: 4.3515 4.3515 6.7662
angles: 90.00 90.00 120.00
Fractional positions:
1 Pm 0.0000 0.0000 0.0000
2 Ge 0.3333 0.6667 0.3058
3 Ge 0.6667 0.3333 0.6942
4 Pd 0.0000 0.0000 0.5000
5 Pt 0.3333 0.6667 0.7074
6 Pt 0.6667 0.3333 0.2926

Calculated values
DFT formation energy: -827 meV per atom
Space-group type: No. 164



Pm2Ge4PdPt3: optimized geometry, PBE-GGA.

abc: 4.3636 4.3636 10.1014
angles: 90.00 90.00 90.00
Fractional positions:
1 Pm 0.0000 0.5000 0.2493
2 Pm 0.5000 0.0000 0.7507
3 Ge 0.0000 0.0000 0.0000
4 Ge 0.0000 0.5000 0.6302
5 Ge 0.5000 0.0000 0.3698
6 Ge 0.5000 0.5000 0.0000
7 Pd 0.0000 0.0000 0.5000
8 Pt 0.0000 0.5000 0.8737
9 Pt 0.5000 0.0000 0.1263
10 Pt 0.5000 0.5000 0.5000

Calculated values
DFT formation energy: -919 meV per atom
Space-group type: No. 115



Pm3Ge6PdPt2: optimized geometry, PBE-GGA.

abc: 5.9588 5.9588 8.2067
angles: 90.00 90.00 120.00
Fractional positions:
1 Pm 0.0000 0.0000 0.0000
2 Pm 0.3333 0.6667 0.6378
3 Pm 0.6667 0.3333 0.3622
4 Ge 0.1872 0.3744 0.2876
5 Ge 0.1872 0.8128 0.2876
6 Ge 0.3744 0.1872 0.7124
7 Ge 0.6256 0.8128 0.2876
8 Ge 0.8128 0.1872 0.7124
9 Ge 0.8128 0.6256 0.7124
10 Pd 0.0000 0.0000 0.5000
11 Pt 0.3333 0.6667 0.0268
12 Pt 0.6667 0.3333 0.9732

Calculated values
DFT formation energy: -469 meV per atom
Space-group type: No. 164



PmGe2PdPt: optimized geometry, PBE-GGA.

abc: 4.3409 4.3409 10.1627
angles: 90.00 90.00 90.00
Fractional positions:
1 Pm 0.0000 0.0000 0.0000
2 Pm 0.5000 0.5000 0.5000
3 Ge 0.0000 0.0000 0.3778
4 Ge 0.0000 0.0000 0.6222
5 Ge 0.5000 0.5000 0.1222
6 Ge 0.5000 0.5000 0.8778
7 Pd 0.0000 0.5000 0.2500
8 Pd 0.5000 0.0000 0.7500
9 Pt 0.0000 0.5000 0.7500
10 Pt 0.5000 0.0000 0.2500

Calculated values
DFT formation energy: -853 meV per atom
Space-group type: No. 119



PmGePdPt: optimized geometry, PBE-GGA.

abc: 4.0299 4.0299 9.8811
angles: 90.00 90.00 90.00
Fractional positions:
1 Pm 0.2500 0.2500 0.2114
2 Pm 0.7500 0.7500 0.7886
3 Ge 0.2500 0.2500 0.6534
4 Ge 0.7500 0.7500 0.3466
5 Pd 0.2500 0.7500 0.5000
6 Pd 0.7500 0.2500 0.5000
7 Pt 0.2500 0.2500 0.9080
8 Pt 0.7500 0.7500 0.0920

Calculated values
DFT formation energy: -843 meV per atom
Space-group type: No. 129
E above lowest polymorph: 0 meV/atom



PmGePdPt: optimized geometry, PBE-GGA.

abc: 6.7707 6.7707 6.7707
angles: 90.00 90.00 90.00
Fractional positions:
1 Pm 0.0000 0.0000 0.0000
2 Pm 0.0000 0.5000 0.5000
3 Pm 0.5000 0.0000 0.5000
4 Pm 0.5000 0.5000 0.0000
5 Ge 0.0000 0.0000 0.5000
6 Ge 0.0000 0.5000 0.0000
7 Ge 0.5000 0.0000 0.0000
8 Ge 0.5000 0.5000 0.5000
9 Pd 0.2500 0.2500 0.7500
10 Pd 0.2500 0.7500 0.2500
11 Pd 0.7500 0.2500 0.2500
12 Pd 0.7500 0.7500 0.7500
13 Pt 0.2500 0.2500 0.2500
14 Pt 0.2500 0.7500 0.7500
15 Pt 0.7500 0.2500 0.7500
16 Pt 0.7500 0.7500 0.2500

Calculated values
DFT formation energy: -676 meV per atom
Space-group type: No. 216
E above lowest polymorph: 167 meV/atom



Pm2Ge3Pd4Pt: optimized geometry, PBE-GGA.

abc: 4.1335 4.1335 11.2169
angles: 90.00 90.00 90.00
Fractional positions:
1 Pm 0.0000 0.5000 0.2413
2 Pm 0.5000 0.0000 0.7587
3 Ge 0.0000 0.0000 0.0000
4 Ge 0.0000 0.5000 0.6284
5 Ge 0.5000 0.0000 0.3716
6 Pd 0.0000 0.0000 0.5000
7 Pd 0.0000 0.5000 0.8448
8 Pd 0.5000 0.0000 0.1552
9 Pd 0.5000 0.5000 0.5000
10 Pt 0.5000 0.5000 0.0000

Calculated values
DFT formation energy: -762 meV per atom
Space-group type: No. 115



Pm2PuGe4Pd3: optimized geometry, PBE-GGA.

abc: 4.2888 4.2888 11.5263
angles: 90.00 90.00 90.00
Fractional positions:
1 Pm 0.0000 0.5000 0.2271
2 Pm 0.5000 0.0000 0.7729
3 Pu 0.0000 0.0000 0.5000
4 Ge 0.0000 0.0000 0.0000
5 Ge 0.0000 0.5000 0.6684
6 Ge 0.5000 0.0000 0.3316
7 Ge 0.5000 0.5000 0.0000
8 Pd 0.0000 0.5000 0.8820
9 Pd 0.5000 0.0000 0.1180
10 Pd 0.5000 0.5000 0.5000

Calculated values
DFT formation energy: -647 meV per atom
Space-group type: No. 115



Pm3Ge6Pd2Rh: optimized geometry, PBE-GGA.

abc: 5.9776 5.9776 8.0471
angles: 90.00 90.00 120.00
Fractional positions:
1 Pm 0.0000 0.0000 0.0000
2 Pm 0.3333 0.6667 0.6220
3 Pm 0.6667 0.3333 0.3780
4 Ge 0.1862 0.3724 0.2874
5 Ge 0.1862 0.8138 0.2874
6 Ge 0.3724 0.1862 0.7126
7 Ge 0.6276 0.8138 0.2874
8 Ge 0.8138 0.1862 0.7126
9 Ge 0.8138 0.6276 0.7126
10 Pd 0.3333 0.6667 0.0221
11 Pd 0.6667 0.3333 0.9779
12 Rh 0.0000 0.0000 0.5000

Calculated values
DFT formation energy: -496 meV per atom
Space-group type: No. 164



Pm2Ge4Pd3Rh: optimized geometry, PBE-GGA.

abc: 4.2768 4.2768 10.3549
angles: 90.00 90.00 90.00
Fractional positions:
1 Pm 0.0000 0.5000 0.2471
2 Pm 0.5000 0.0000 0.7529
3 Ge 0.0000 0.0000 0.0000
4 Ge 0.0000 0.5000 0.6290
5 Ge 0.5000 0.0000 0.3710
6 Ge 0.5000 0.5000 0.0000
7 Pd 0.0000 0.5000 0.8666
8 Pd 0.5000 0.0000 0.1334
9 Pd 0.5000 0.5000 0.5000
10 Rh 0.0000 0.0000 0.5000

Calculated values
DFT formation energy: -820 meV per atom
Space-group type: No. 115



Pm2Ge3Pd4Rh: optimized geometry, PBE-GGA.

abc: 4.1481 4.1481 11.0249
angles: 90.00 90.00 90.00
Fractional positions:
1 Pm 0.0000 0.5000 0.2410
2 Pm 0.5000 0.0000 0.7590
3 Ge 0.0000 0.0000 0.0000
4 Ge 0.0000 0.5000 0.6306
5 Ge 0.5000 0.0000 0.3694
6 Pd 0.0000 0.0000 0.5000
7 Pd 0.0000 0.5000 0.8508
8 Pd 0.5000 0.0000 0.1492
9 Pd 0.5000 0.5000 0.5000
10 Rh 0.5000 0.5000 0.0000

Calculated values
DFT formation energy: -711 meV per atom
Space-group type: No. 115



Pm2Ge4PdRh3: optimized geometry, PBE-GGA.

abc: 4.2664 4.2664 10.1829
angles: 90.00 90.00 90.00
Fractional positions:
1 Pm 0.0000 0.5000 0.2406
2 Pm 0.5000 0.0000 0.7594
3 Ge 0.0000 0.0000 0.0000
4 Ge 0.0000 0.5000 0.6352
5 Ge 0.5000 0.0000 0.3648
6 Ge 0.5000 0.5000 0.0000
7 Pd 0.0000 0.0000 0.5000
8 Rh 0.0000 0.5000 0.8741
9 Rh 0.5000 0.0000 0.1259
10 Rh 0.5000 0.5000 0.5000

Calculated values
DFT formation energy: -849 meV per atom
Space-group type: No. 115



Pm2Ge6PdRh: optimized geometry, PBE-GGA.

abc: 13.7439 13.7439 13.7439
angles: 25.79 25.79 25.79
Fractional positions:
1 Pm 0.1275 0.1275 0.1275
2 Pm 0.2785 0.2785 0.2785
3 Pm 0.7215 0.7215 0.7215
4 Pm 0.8725 0.8725 0.8725
5 Ge 0.0699 0.6570 0.6570
6 Ge 0.1975 0.1975 0.7633
7 Ge 0.1975 0.7633 0.1975
8 Ge 0.2367 0.8025 0.8025
9 Ge 0.3430 0.3430 0.9301
10 Ge 0.3430 0.9301 0.3430
11 Ge 0.6570 0.0699 0.6570
12 Ge 0.6570 0.6570 0.0699
13 Ge 0.7633 0.1975 0.1975
14 Ge 0.8025 0.2367 0.8025
15 Ge 0.8025 0.8025 0.2367
16 Ge 0.9301 0.3430 0.3430
17 Pd 0.0000 0.0000 0.0000
18 Pd 0.5000 0.5000 0.5000
19 Rh 0.4266 0.4266 0.4266
20 Rh 0.5734 0.5734 0.5734

Calculated values
DFT formation energy: -411 meV per atom
Space-group type: No. 166



PmGePdRu: optimized geometry, PBE-GGA.

abc: 6.6189 6.6189 6.6189
angles: 90.00 90.00 90.00
Fractional positions:
1 Pm 0.0000 0.0000 0.0000
2 Pm 0.0000 0.5000 0.5000
3 Pm 0.5000 0.0000 0.5000
4 Pm 0.5000 0.5000 0.0000
5 Ge 0.0000 0.0000 0.5000
6 Ge 0.0000 0.5000 0.0000
7 Ge 0.5000 0.0000 0.0000
8 Ge 0.5000 0.5000 0.5000
9 Pd 0.2500 0.2500 0.2500
10 Pd 0.2500 0.7500 0.7500
11 Pd 0.7500 0.2500 0.7500
12 Pd 0.7500 0.7500 0.2500
13 Ru 0.2500 0.2500 0.7500
14 Ru 0.2500 0.7500 0.2500
15 Ru 0.7500 0.2500 0.2500
16 Ru 0.7500 0.7500 0.7500

Calculated values
DFT formation energy: -343 meV per atom
Space-group type: No. 216



PmGe2PdRu: optimized geometry, PBE-GGA.

abc: 4.1859 4.1859 10.5852
angles: 90.00 90.00 90.00
Fractional positions:
1 Pm 0.0000 0.0000 0.0000
2 Pm 0.5000 0.5000 0.5000
3 Ge 0.0000 0.0000 0.3775
4 Ge 0.0000 0.0000 0.6225
5 Ge 0.5000 0.5000 0.1225
6 Ge 0.5000 0.5000 0.8775
7 Pd 0.0000 0.5000 0.2500
8 Pd 0.5000 0.0000 0.7500
9 Ru 0.0000 0.5000 0.7500
10 Ru 0.5000 0.0000 0.2500

Calculated values
DFT formation energy: -719 meV per atom
Space-group type: No. 119



Pm2GeSbPd6: optimized geometry, PBE-GGA.

abc: 5.4848 6.5979 6.6424
angles: 74.55 65.65 65.51
Fractional positions:
1 Pm 0.9997 0.2483 0.2519
2 Pm 0.0003 0.7517 0.7481
3 Ge 0.5000 0.0000 0.5000
4 Sb 0.5000 0.5000 0.0000
5 Pd 0.0112 0.1824 0.7970
6 Pd 0.3243 0.4181 0.4328
7 Pd 0.4910 0.8177 0.2030
8 Pd 0.5090 0.1823 0.7970
9 Pd 0.6757 0.5819 0.5672
10 Pd 0.9888 0.8176 0.2030

Calculated values
ΔE_f (raw): -15.73 kcal/mol of atoms
Space-group type: No. 2



no.,density (Mg/m³)
1,9.715
2,7.833
3,9.375
4,7.623
5,11.776
6,10.984
7,8.998
8,10.263
9,10.744
10,11.110
11,9.779
12,8.959
13,7.913
14,8.791
15,9.073
16,8.920
17,7.177
18,9.738
19,8.913
20,9.419